{
  "formula": "TbNp2P3",
  "functional": "PBE",
  "state": "relaxed",
  "magnetic_moment_mub_per_cell": 29.5,
  "total_energy_ev_per_cell": -213.718,
  "vol_a3_per_atom": 22.25,
  "lattice": [[0.0000, 5.6262, 11.9318], [3.9781, 0.0000, 11.9318], [3.9781, 5.6262, 0.0000]],
  "species": ["Tb", "Tb", "Tb", "Tb", "Np", "Np", "Np", "Np", "Np", "Np", "Np", "Np", "P", "P", "P", "P", "P", "P", "P", "P", "P", "P", "P", "P"],
  "fractional_positions": [[0.0418, 0.0418, 0.2082], [0.2082, 0.2082, 0.0418], [0.7918, 0.7918, 0.9582], [0.9582, 0.9582, 0.7918], [0.1242, 0.1242, 0.6258], [0.2909, 0.2909, 0.4591], [0.3742, 0.3742, 0.8758], [0.4591, 0.4591, 0.2909], [0.5409, 0.5409, 0.7091], [0.6258, 0.6258, 0.1242], [0.7091, 0.7091, 0.5409], [0.8758, 0.8758, 0.3742], [0.0427, 0.5429, 0.2126], [0.1309, 0.6191, 0.6191], [0.2126, 0.7018, 0.0427], [0.2982, 0.7874, 0.4571], [0.3809, 0.8691, 0.8691], [0.4571, 0.9573, 0.2982], [0.5429, 0.0427, 0.7018], [0.6191, 0.1309, 0.1309], [0.7018, 0.2126, 0.5429], [0.7874, 0.2982, 0.9573], [0.8691, 0.3809, 0.3809], [0.9573, 0.4571, 0.7874]]
}

***

{
  "formula": "Tb5Pm2Er12",
  "functional": "PBE",
  "state": "relaxed",
  "magnetic_moment_mub_per_cell": 0.0,
  "total_energy_ev_per_cell": -84.923,
  "vol_a3_per_atom": 32.11,
  "lattice": [[7.8161, -4.5994, 0.0000], [7.8161, 4.5994, 0.0000], [-0.2242, 0.0000, 8.4866]],
  "species": ["Tb", "Tb", "Tb", "Tb", "Tb", "Pm", "Pm", "Er", "Er", "Er", "Er", "Er", "Er", "Er", "Er", "Er", "Er", "Er", "Er"],
  "fractional_positions": [[0.0000, 0.0000, 0.0000], [0.2318, 0.2318, 0.0751], [0.3003, 0.3003, 0.4888], [0.6997, 0.6997, 0.5112], [0.7682, 0.7682, 0.9249], [0.3183, 0.6817, 0.5000], [0.6817, 0.3183, 0.5000], [0.0258, 0.6659, 0.2558], [0.0889, 0.0889, 0.3812], [0.1815, 0.5634, 0.8437], [0.3341, 0.9742, 0.7442], [0.4366, 0.8185, 0.1563], [0.4431, 0.4431, 0.1689], [0.5569, 0.5569, 0.8311], [0.5634, 0.1815, 0.8437], [0.6659, 0.0258, 0.2558], [0.8185, 0.4366, 0.1563], [0.9111, 0.9111, 0.6188], [0.9742, 0.3341, 0.7442]]
}

***

{
  "formula": "Li5Cr2H12",
  "functional": "PBE",
  "state": "relaxed",
  "magnetic_moment_mub_per_cell": 3.0,
  "total_energy_ev_per_cell": -72.299,
  "vol_a3_per_atom": 7.19,
  "lattice": [[4.9117, -2.9115, 0.0000], [4.9117, 2.9115, 0.0000], [-0.9252, 0.0000, 4.7795]],
  "species": ["Li", "Li", "Li", "Li", "Li", "Cr", "Cr", "H", "H", "H", "H", "H", "H", "H", "H", "H", "H", "H", "H"],
  "fractional_positions": [[0.0000, 0.0000, 0.0000], [0.2402, 0.2402, 0.4416], [0.3693, 0.3693, 0.9880], [0.6307, 0.6307, 0.0120], [0.7598, 0.7598, 0.5584], [0.2504, 0.7496, 0.5000], [0.7496, 0.2504, 0.5000], [0.0782, 0.0782, 0.6437], [0.1147, 0.6822, 0.7433], [0.1288, 0.5691, 0.2629], [0.3178, 0.8853, 0.2567], [0.4309, 0.8712, 0.7371], [0.4527, 0.4527, 0.6477], [0.5473, 0.5473, 0.3523], [0.5691, 0.1288, 0.2629], [0.6822, 0.1147, 0.7433], [0.8712, 0.4309, 0.7371], [0.8853, 0.3178, 0.2567], [0.9218, 0.9218, 0.3563]]
}

***

{
  "formula": "InCo2Pb",
  "functional": "PBE",
  "state": "relaxed",
  "magnetic_moment_mub_per_cell": 2.3,
  "total_energy_ev_per_cell": -17.747,
  "vol_a3_per_atom": 18.02,
  "lattice": [[0.0000, 3.3030, 3.3030], [3.3030, 0.0000, 3.3030], [3.3030, 3.3030, 0.0000]],
  "species": ["In", "Co", "Co", "Pb"],
  "fractional_positions": [[0.0000, 0.0000, 0.0000], [0.2500, 0.2500, 0.2500], [0.5000, 0.5000, 0.5000], [0.7500, 0.7500, 0.7500]]
}

***

{
  "formula": "ErPaBi2",
  "functional": "PBE",
  "state": "relaxed",
  "magnetic_moment_mub_per_cell": 1.4,
  "total_energy_ev_per_cell": -23.469,
  "vol_a3_per_atom": 31.56,
  "lattice": [[2.2201, 1.2818, 7.3934], [-2.2201, 1.2818, 7.3934], [0.0000, -2.5636, 7.3934]],
  "species": ["Er", "Pa", "Bi", "Bi"],
  "fractional_positions": [[0.0000, 0.0000, 0.0000], [0.5000, 0.5000, 0.5000], [0.2521, 0.2521, 0.2521], [0.7479, 0.7479, 0.7479]]
}

***

{
  "formula": "Ba6AgAu2I3",
  "functional": "PBE",
  "state": "relaxed",
  "raw_formation_energy_mev_per_atom": -979,
  "magnetic_moment_mub_per_cell": 0.0,
  "vol_a3_per_atom": 43.73,
  "lattice": [[4.1281, -7.1486, 0.0000], [4.1281, 7.1486, 0.0000], [-2.7516, 0.0000, 8.8909]],
  "species": ["Ba", "Ba", "Ba", "Ba", "Ba", "Ba", "Ag", "Au", "Au", "I", "I", "I"],
  "fractional_positions": [[0.0900, 0.4301, 0.7904], [0.2298, 0.2298, 0.2093], [0.4301, 0.0900, 0.7904], [0.5699, 0.9100, 0.2096], [0.7702, 0.7702, 0.7907], [0.9100, 0.5699, 0.2096], [0.5000, 0.5000, 0.0000], [0.1667, 0.8333, 0.0000], [0.8333, 0.1667, 0.0000], [0.0000, 0.0000, 0.5000], [0.3345, 0.6655, 0.5000], [0.6655, 0.3345, 0.5000]]
}

***

{
  "formula": "Mn2FeCu",
  "functional": "PBE",
  "state": "relaxed",
  "magnetic_moment_mub_per_cell": 3.6,
  "total_energy_ev_per_cell": -29.715,
  "vol_a3_per_atom": 11.32,
  "lattice": [[-1.4082, 1.9780, 4.0636], [1.4082, -1.9780, 4.0636], [1.4082, 1.9780, -4.0636]],
  "species": ["Mn", "Mn", "Fe", "Cu"],
  "fractional_positions": [[0.2382, 0.2382, 0.0000], [0.7618, 0.7618, 0.0000], [0.0000, 0.5000, 0.5000], [0.5000, 0.0000, 0.5000]]
}

***

{
  "formula": "CaNi3Sn",
  "functional": "PBE",
  "state": "relaxed",
  "magnetic_moment_mub_per_cell": 0.0,
  "total_energy_ev_per_cell": -47.976,
  "vol_a3_per_atom": 19.24,
  "lattice": [[-2.6810, 4.9292, 3.6400], [2.6810, -4.9292, 3.6400], [2.6810, 4.9292, -3.6400]],
  "species": ["Ca", "Ca", "Ni", "Ni", "Ni", "Ni", "Ni", "Ni", "Sn", "Sn"],
  "fractional_positions": [[0.3346, 0.0846, 0.2500], [0.6654, 0.9154, 0.7500], [0.1273, 0.0000, 0.6273], [0.1273, 0.5000, 0.1273], [0.2105, 0.4605, 0.7500], [0.7895, 0.5395, 0.2500], [0.8727, 0.0000, 0.3727], [0.8727, 0.5000, 0.8727], [0.0000, 0.5000, 0.5000], [0.5000, 0.5000, 0.0000]]
}

***

{
  "formula": "NaMg2InAu4",
  "functional": "PBE",
  "state": "relaxed",
  "magnetic_moment_mub_per_cell": 0.0,
  "total_energy_ev_per_cell": -23.525,
  "vol_a3_per_atom": 19.19,
  "lattice": [[2.3840, 1.3764, 7.7978], [-2.3840, 1.3764, 7.7978], [0.0000, -2.7528, 7.7978]],
  "species": ["Na", "Mg", "Mg", "In", "Au", "Au", "Au", "Au"],
  "fractional_positions": [[0.0000, 0.0000, 0.0000], [0.2531, 0.2531, 0.2531], [0.7469, 0.7469, 0.7469], [0.5000, 0.5000, 0.5000], [0.1263, 0.1263, 0.1263], [0.3761, 0.3761, 0.3761], [0.6239, 0.6239, 0.6239], [0.8737, 0.8737, 0.8737]]
}